## Li2NiF8 (PBE with a Hubbard U)

Data for crystalline Li2NiF8 at its relaxed geometry.

The value obtained for the magnetization is 0.000 Bohr magnetons per cell. The value obtained for the total energy is -3.59 eV/atom. Its density of states at the Fermi level is 0.00 states/eV/atom.

It has space group C2/m (No. 12), with a = 8.063 Å, b = 8.176 Å, c = 4.949 Å, α = 90.00°, β = 112.16° and γ = 90.00°. The inequivalent atoms are Li at (0.209, 0.000, 0.165), Ni at (0.000, 0.000, 0.500), F at (0.069, 0.500, 0.434), F at (0.072, 0.150, 0.304) and F at (0.220, 0.000, 0.789).